{"formula": "NaHg4Pb5", "functional": "PBE", "state": "relaxed", "m_tot_mub_per_fu": 0.0, "relative_energy_ev_per_atom": 0.0419, "dft_energy_ev_per_atom": -2.10, "spacegroup": "No. 2", "formation_enthalpy_0k_ev_per_atom": 0.0031, "lattice": [[-5.0922, -2.9750, -1.0464], [3.3682, -0.7508, -5.5547], [0.3162, -6.8504, 4.9602]], "species": ["Na", "Hg", "Hg", "Hg", "Hg", "Pb", "Pb", "Pb", "Pb", "Pb"], "frac_coords": [[0.5000, 0.0000, 0.0000], [0.6388, 0.0176, 0.3296], [0.9666, 0.2680, 0.0934], [0.3612, 0.9824, 0.6704], [0.0334, 0.7320, 0.9066], [0.2750, 0.4162, 0.4027], [0.0873, 0.8157, 0.3041], [0.9127, 0.1843, 0.6959], [0.5000, 0.5000, 0.0000], [0.7250, 0.5838, 0.5973]]}